# NiSeCl PBE relaxed
data_NiSeCl
_chemical_formula_sum 'Ni1 Se1 Cl1'
_space_group_name_H-M_alt 'P 1'
_space_group_IT_number 1
_space_group_name_Hall 'P 1'
_cell_length_a 3.407
_cell_length_b 3.407
_cell_length_c 6.435
_cell_angle_alpha 90.00
_cell_angle_beta 90.00
_cell_angle_gamma 120.00
loop_
_atom_site_label
_atom_site_type_symbol
_atom_site_fract_x
_atom_site_fract_y
_atom_site_fract_z
Ni1 Ni 0.667 0.333 0.336
Cl1 Cl 0.000 0.000 0.119
Se1 Se 0.333 0.667 0.545
# Space-group type ... P3m1, No. 156
# Magnetization ... 0.99 μB per cell
# Crystal system ... trigonal
# Total DFT energy (no corrections) ... -12.1 eV for the cell shown